Record 1
Computed, not measured: crystalline IrRhSe at its relaxed geometry at the PBE level of DFT.

E_form (uncorrected)	0.342	eV/atom
DFT total energy	-37.34	eV/cell
Fermi-level density of states	1.07	states/eV per atom

extended XYZ file:
```
6
Lattice="2.903 0.000 0.000 -1.452 2.514 0.000 0.000 0.000 12.752" Properties=species:S:1:pos:R:3 pbc="T T T"
Ir 0.000 0.000 0.000
Ir 0.000 1.676 6.376
Rh 0.000 1.676 2.122
Rh 0.000 1.676 10.630
Se 0.000 0.000 4.205
Se 0.000 0.000 8.547
```



Record 2
Computed, not measured: crystalline IrRhSe2 at its relaxed geometry at the PBE level of DFT.

E_form (uncorrected)	0.181	eV/atom
DFT total energy	-22.46	eV/cell
Fermi-level density of states	0.72	states/eV per atom

extended XYZ file:
```
4
Lattice="4.686 -1.601 0.000 4.686 1.601 0.000 -0.668 0.000 4.397" Properties=species:S:1:pos:R:3 pbc="T T T"
Ir 0.000 0.000 0.000
Rh 6.772 0.000 1.374
Se 1.803 0.000 3.794
Se 4.321 0.000 1.981
```



Record 3
Computed, not measured: crystalline IrRhSe2 at its relaxed geometry at the PBE level of DFT.

E_form (uncorrected)	0.219	eV/atom
DFT total energy	-22.30	eV/cell
Fermi-level density of states	1.13	states/eV per atom

extended XYZ file:
```
4
Lattice="4.225 0.000 0.000 0.000 3.172 0.000 -1.913 0.000 4.921" Properties=species:S:1:pos:R:3 pbc="T T T"
Ir 0.000 0.000 0.000
Rh 1.156 1.586 2.460
Se -0.956 0.000 2.460
Se 2.113 1.586 0.000
```